Density functional theory data (PBE-GGA) for an optimized crystal structure of RbNa3O.

```
10
Lattice="-0.294 6.360 1.123 -9.007 0.081 -2.910 -1.975 -1.162 6.063" Properties=species:S:1:pos:R:3 pbc="T T T"
Rb -4.675 0.333 3.402
Rb -9.543 4.155 -0.914
Na -4.498 4.087 0.714
Na -8.100 1.658 4.273
Na -7.249 5.418 1.807
Na -9.718 0.373 1.767
Na -8.238 4.838 4.839
Na -7.112 2.238 1.242
O -7.524 0.358 2.480
O -6.692 4.119 0.007
```

Computed properties:
Relative energy among the computed polymorphs = 0.0 meV/atom
Formation energy from raw total energies = -0.62 eV per atom